[1]
Here is a relaxed structure of CdInHg5Pb2 from Alexandria. Energies are from GGA-PBE.

The space group is Cmc2_1 (No. 36) and the conventional cell measures 3.616, 19.692 and 13.770 Å, with angles of 90.00, 90.00 and 90.00 degrees. The asymmetric unit holds Cd at (0.000, 0.223, 0.000), In at (0.000, 0.048, 0.365), Hg at (0.000, 0.027, 0.667), Hg at (0.000, 0.072, 0.996), Hg at (0.000, 0.212, 0.344), Hg at (0.000, 0.213, 0.661), Hg at (0.000, 0.384, 0.024), Pb at (0.000, 0.377, 0.310) and Pb at (0.000, 0.377, 0.684).

The calculation puts the density at 11.14 g/cm3.

[2]
Here is a relaxed structure of CdIn7Hg2Pb2 from Alexandria. Energies are from GGA-PBE.

The space group is Imm2 (No. 44) and the conventional cell measures 3.352, 29.180 and 6.922 Å, with angles of 90.00, 90.00 and 90.00 degrees. The asymmetric unit holds Cd at (0.000, 0.000, 0.000), In at (0.000, 0.158, 0.067), In at (0.000, 0.336, 0.990), In at (0.000, 0.433, 0.770), In at (0.000, 0.500, 0.114), Hg at (0.000, 0.407, 0.302) and Pb at (0.000, 0.257, 0.326).

The calculation puts the density at 8.49 g/cm3.

[3]
Here is a relaxed structure of CdIn2Hg4Pb from Alexandria. Energies are from GGA-PBE.

The space group is Imma (No. 74) and the conventional cell measures 8.640, 8.730 and 12.223 Å, with angles of 90.00, 90.00 and 90.00 degrees. The asymmetric unit holds Cd at (0.000, 0.000, 0.000), In at (0.000, 0.000, 0.500), In at (0.250, 0.250, 0.250), Hg at (0.000, 0.008, 0.247), Hg at (0.247, 0.250, 0.004) and Pb at (0.250, 0.250, 0.750).

The calculation puts the density at 9.74 g/cm3.

[4]
Here is a relaxed structure of Cd2In3Hg4Pb2 from Alexandria. Energies are from GGA-PBE.

The space group is P-3m1 (No. 164) and the conventional cell measures 5.0360, 5.0360 and 14.1089 Å, with angles of 90.00, 90.00 and 120.00 degrees. The asymmetric unit holds Cd at (0.3333, 0.6667, 0.1348), In at (0.0000, 0.0000, 0.0000), In at (0.0000, 0.0000, 0.2563), Hg at (0.3333, 0.6667, 0.3451), Hg at (0.3333, 0.6667, 0.8955) and Pb at (0.3333, 0.6667, 0.5717).

The calculation puts the density at 9.57 g/cm3.

[5]
Here is a relaxed structure of CdIn4Hg2Pb from Alexandria. Energies are from GGA-PBE.

The space group is Imma (No. 74) and the conventional cell measures 6.560, 11.113 and 12.279 Å, with angles of 90.00, 90.00 and 90.00 degrees. The asymmetric unit holds Cd at (0.250, 0.250, 0.250), In at (0.000, 0.002, 0.242), In at (0.243, 0.250, 0.999), Hg at (0.000, 0.000, 0.000), Hg at (0.250, 0.250, 0.750) and Pb at (0.000, 0.000, 0.500).

The calculation puts the density at 8.76 g/cm3.

[6]
Here is a relaxed structure of CdInHg4Pb2 from Alexandria. Energies are from GGA-PBE.

The space group is Imma (No. 74) and the conventional cell measures 6.656, 10.988 and 12.296 Å, with angles of 90.00, 90.00 and 90.00 degrees. The asymmetric unit holds Cd at (0.250, 0.250, 0.250), In at (0.000, 0.000, 0.000), Hg at (0.000, 0.012, 0.245), Hg at (0.245, 0.250, 0.006), Pb at (0.000, 0.000, 0.500) and Pb at (0.250, 0.250, 0.750).

The calculation puts the density at 10.67 g/cm3.

| no. | formation energy (meV/atom) | raw total energy (eV per atom) |
| --- | --- | --- |
| 1 | 34 | -1.36 |
| 2 | 51 | -2.29 |
| 3 | 51 | -1.36 |
| 4 | 53 | -1.64 |
| 5 | 55 | -1.97 |
| 6 | 45 | -1.49 |